The following is a DFT calculation (PBE) of crystalline Cd2CuAs at its relaxed geometry.

Cell: 3.1162 4.0842 6.3369 Å, 90.00 90.70 90.00°
Space group Pm (No. 6)
Asymmetric unit:
1 Cd 0.0000 0.0000 0.0000 (multiplicity 1)
2 Cd 0.4946 0.5000 0.7263 (multiplicity 1)
3 Cu 0.5022 0.5000 0.1867 (multiplicity 1)
4 As 0.5112 0.0000 0.4073 (multiplicity 1)

## Properties
V (Å³/atom): 20.2
E_form (meV/atom): 133
DFT total energy (eV/atom): -2.511